The following is a DFT calculation (GGA-PBE) of a relaxed structure of ErThIr4.

Unit cell a=5.403 b=5.403 c=5.403 alpha=60.00 beta=60.00 gamma=60.00
Atoms (fractional coordinates):
Ir 0.626 0.626 0.123
Ir 0.626 0.123 0.626
Ir 0.626 0.626 0.626
Ir 0.123 0.626 0.626
Th 0.250 0.250 0.250
Er 0.000 0.000 0.000

## Properties
The value obtained for the uncorrected energy is -8.73 eV per atom. The formation energy is -0.821 eV per atom.



The following is a DFT calculation (GGA-PBE) of a relaxed structure of TbPmThN3.

Unit cell a=3.572 b=6.155 c=9.234 alpha=101.19 beta=90.00 gamma=90.00
Atoms (fractional coordinates):
Tb 0.250 0.152 0.633
Tb 0.750 0.848 0.367
Pm 0.750 0.660 0.694
Pm 0.250 0.340 0.306
Th 0.250 0.765 0.049
Th 0.750 0.235 0.951
N 0.250 0.756 0.502
N 0.750 0.040 0.154
N 0.750 0.543 0.164
N 0.750 0.244 0.498
N 0.250 0.457 0.836
N 0.250 0.960 0.846

## Properties
The value obtained for the uncorrected energy is -8.38 eV per atom. For the uncorrected formation energy, the calculation gives -8.495 eV per formula unit.



The following is a DFT calculation (GGA-PBE) of a relaxed structure of NaGePt.

Unit cell a=5.726 b=5.845 c=7.829 alpha=90.00 beta=110.34 gamma=90.00
Atoms (fractional coordinates):
Na 0.312 0.884 0.119
Na 0.812 0.616 0.619
Na 0.688 0.116 0.881
Na 0.188 0.384 0.381
Ge 0.585 0.386 0.209
Ge 0.415 0.614 0.791
Ge 0.085 0.114 0.709
Ge 0.915 0.886 0.291
Pt 0.186 0.395 0.955
Pt 0.814 0.605 0.045
Pt 0.314 0.895 0.545
Pt 0.686 0.105 0.455

## Properties
The value obtained for the uncorrected energy is -4.37 eV per atom. The formation energy is -0.382 eV per atom.